## GaRh4 (PBE)

Data for a relaxed GaRh4 crystal.

## Properties
Density of states at the Fermi level   4.60 states/eV/cell
ΔE to the lowest computed polymorph   0 meV/atom
Space group   I4/mmm, No. 139
Total DFT energy (no corrections)   -6.046 eV/atom

abc: 4.8084 5.0514 4.8084
angles: 118.42 90.00 118.42
With the nearest neighbours (Å) after each atom.
Atoms (fractional coordinates):
1 Ga 0.0000 0.0000 0.0000  2 Rh 2.55
2 Rh 0.7500 0.5000 0.2500  4 Rh 2.50
3 Rh 0.6589 0.3177 0.6589  5 Rh 2.37-2.50, 1 Ga 2.55
4 Rh 0.3411 0.6823 0.3411  5 Rh 2.37-2.50, 1 Ga 2.55
5 Rh 0.2500 0.5000 0.7500  4 Rh 2.50